This record from Alexandria via LeMat-Bulk describes a relaxed Sr3PrDy3Te8 crystal. The functional is PBE.

The structure belongs to space group R-3m (No. 166, hexagonal axes); the cell edges are 8.9229, 8.9229 and 22.8109 Å and the angles 90.00°, 90.00° and 120.00°. The inequivalent atoms are Sr at (0.0000, 0.5000, 0.0000), Pr at (0.0000, 0.0000, 0.5000), Dy at (0.0000, 0.5000, 0.5000), Te at (0.0000, 0.0000, 0.2435) and Te at (0.0140, 0.5070, 0.7543).

As for the calculated volume: 1573 Å³/cell. As for the raw formation energy: -1.52 eV/atom. As for the total energy: -4.7697 eV per atom.